No. 1
Material: PmDy3Ru
Method: DFT, PBE
State: relaxed

Output
As for the space-group type: P2_1/m.

Cell lengths 4.9307, 9.6610, 6.5481 Å; angles 90.00, 111.91, 90.00 degrees
Fractional coordinates of all 10 atoms:
Pm 0.1404 0.2500 0.2801
Pm 0.8596 0.7500 0.7199
Dy 0.1351 0.7500 0.2690
Dy 0.3648 0.0000 0.7322
Dy 0.3648 0.5000 0.7322
Dy 0.6352 0.0000 0.2678
Dy 0.6352 0.5000 0.2678
Dy 0.8649 0.2500 0.7310
Ru 0.4956 0.2500 0.9920
Ru 0.5044 0.7500 0.0080



No. 2
Material: PmDyRu
Method: DFT, PBE
State: relaxed

Output
As for the space-group type: P-1.

Cell lengths 3.4425, 6.8602, 7.0903 Å; angles 75.83, 76.00, 89.99 degrees
Fractional coordinates of all 6 atoms:
Pm 0.1284 0.0658 0.2440
Pm 0.8716 0.9342 0.7560
Dy 0.1233 0.5611 0.2527
Dy 0.8767 0.4389 0.7473
Ru 0.4992 0.2546 0.5017
Ru 0.5008 0.7454 0.4983



No. 3
Material: Pm2DyRu
Method: DFT, PBE
State: relaxed

Output
As for the space-group type: Cmcm.

Cell lengths 6.3468, 6.3468, 9.3098 Å; angles 90.00, 90.00, 143.22 degrees
Fractional coordinates of all 8 atoms:
Pm 0.1414 0.8586 0.5683
Pm 0.1414 0.8586 0.9317
Pm 0.8586 0.1414 0.0683
Pm 0.8586 0.1414 0.4317
Dy 0.4198 0.5802 0.7500
Dy 0.5802 0.4198 0.2500
Ru 0.2409 0.7591 0.2500
Ru 0.7591 0.2409 0.7500



No. 4
Material: Pm4Dy3Ru4
Method: DFT, PBE
State: relaxed

Output
As for the space-group type: Immm.

Cell lengths 9.6950, 9.6950, 9.6950 Å; angles 159.01, 125.37, 59.17 degrees
Fractional coordinates of all 11 atoms:
Pm 0.0281 0.8362 0.1918
Pm 0.3556 0.1638 0.1918
Pm 0.6444 0.8362 0.8082
Pm 0.9719 0.1638 0.8082
Dy 0.0000 0.5000 0.5000
Dy 0.4066 0.4066 0.0000
Dy 0.5934 0.5934 0.0000
Ru 0.2665 0.7665 0.5000
Ru 0.2735 0.0000 0.2735
Ru 0.7265 0.0000 0.7265
Ru 0.7335 0.2335 0.5000



No. 5
Material: PmDy4Ru2
Method: DFT, PBE
State: relaxed

Output
As for the space-group type: P2_1/m.

Cell lengths 7.7497, 6.4127, 7.9641 Å; angles 90.00, 112.68, 90.00 degrees
Fractional coordinates of all 14 atoms:
Pm 0.0219 0.2500 0.1638
Pm 0.9781 0.7500 0.8362
Dy 0.2444 0.5008 0.5849
Dy 0.2444 0.9992 0.5849
Dy 0.3245 0.7500 0.2512
Dy 0.3799 0.2500 0.0196
Dy 0.6201 0.7500 0.9804
Dy 0.6755 0.2500 0.7488
Dy 0.7556 0.0008 0.4151
Dy 0.7556 0.4992 0.4151
Ru 0.0222 0.2500 0.7370
Ru 0.4143 0.2500 0.3729
Ru 0.5857 0.7500 0.6271
Ru 0.9778 0.7500 0.2630



No. 6
Material: PmDy3Ru2
Method: DFT, PBE
State: relaxed

Output
As for the space-group type: Ibam.

Cell lengths 8.3579, 8.3579, 8.3579 Å; angles 132.18, 71.51, 130.21 degrees
Fractional coordinates of all 12 atoms:
Pm 0.0000 0.0000 0.0000
Pm 0.5000 0.5000 0.0000
Dy 0.0117 0.2500 0.7617
Dy 0.2500 0.7500 0.5000
Dy 0.4883 0.2500 0.2383
Dy 0.5117 0.7500 0.7617
Dy 0.7500 0.2500 0.5000
Dy 0.9883 0.7500 0.2383
Ru 0.1343 0.7224 0.8568
Ru 0.3657 0.2224 0.5881
Ru 0.6343 0.7776 0.4119
Ru 0.8657 0.2776 0.1432



No. 7
Material: Pm2DyRu
Method: DFT, PBE
State: relaxed

Output
As for the space-group type: R-3m.

Cell lengths 10.9028, 10.9028, 10.9028 Å; angles 18.92, 18.92, 18.92 degrees
Fractional coordinates of all 4 atoms:
Pm 0.1067 0.1067 0.1067
Pm 0.8933 0.8933 0.8933
Dy 0.0000 0.0000 0.0000
Ru 0.5000 0.5000 0.5000



No. 8
Material: PmDyRu
Method: DFT, PBE
State: relaxed

Output
As for the space-group type: C2/m.

Cell lengths 4.8253, 4.8253, 8.3932 Å; angles 106.72, 106.72, 60.11 degrees
Fractional coordinates of all 6 atoms:
Pm 0.1237 0.1237 0.3705
Pm 0.8763 0.8763 0.6295
Dy 0.3734 0.3734 0.1201
Dy 0.6266 0.6266 0.8799
Ru 0.2515 0.2515 0.7552
Ru 0.7485 0.7485 0.2448



No. 9
Material: PmDySnRu
Method: DFT, PBE
State: relaxed

Output
As for the space-group type: Amm2.

Cell lengths 3.7688, 6.2292, 6.2292 Å; angles 43.60, 90.00, 90.00 degrees
Fractional coordinates of all 4 atoms:
Pm 0.0000 0.0000 0.0000
Dy 0.5000 0.7028 0.7028
Sn 0.5000 0.4037 0.4037
Ru 0.0000 0.2346 0.2346



No. 10
Material: PmDySnRu
Method: DFT, PBE
State: relaxed

Output
As for the space-group type: F-43m.

Cell lengths 5.1398, 5.1398, 5.1398 Å; angles 60.00, 60.00, 60.00 degrees
Fractional coordinates of all 4 atoms:
Pm 0.0000 0.0000 0.0000
Dy 0.5000 0.5000 0.5000
Sn 0.2500 0.2500 0.2500
Ru 0.7500 0.7500 0.7500



No. 11
Material: PmDyTlRu
Method: DFT, PBE
State: relaxed

Output
As for the space-group type: F-43m.

Cell lengths 5.1493, 5.1493, 5.1493 Å; angles 60.00, 60.00, 60.00 degrees
Fractional coordinates of all 4 atoms:
Pm 0.0000 0.0000 0.0000
Dy 0.5000 0.5000 0.5000
Tl 0.2500 0.2500 0.2500
Ru 0.7500 0.7500 0.7500



No. 12
Material: PmDyZnRu
Method: DFT, PBE
State: relaxed

Output
As for the space-group type: F-43m.

Cell lengths 4.9815, 4.9815, 4.9815 Å; angles 60.00, 60.00, 60.00 degrees
Fractional coordinates of all 4 atoms:
Pm 0.0000 0.0000 0.0000
Dy 0.5000 0.5000 0.5000
Zn 0.2500 0.2500 0.2500
Ru 0.7500 0.7500 0.7500



No. 13
Material: PmDyZnRu
Method: DFT, PBE
State: relaxed

Output
As for the space-group type: Amm2.

Cell lengths 4.3113, 5.6986, 5.6986 Å; angles 41.13, 90.00, 90.00 degrees
Fractional coordinates of all 4 atoms:
Pm 0.0000 0.0000 0.0000
Dy 0.5000 0.7181 0.7181
Zn 0.5000 0.4231 0.4231
Ru 0.0000 0.2800 0.2800



no.,magnetization (μB per cell),DFT formation energy (kJ per mole of atoms),electronic total energy (eV for the cell shown)
1,0.00,-11,-56.8
2,0.00,-25,-38.8
3,0.00,-22,-48.5
4,0.00,-20,-72.1
5,0.00,-23,-86.8
6,0.00,-20,-76.8
7,0.00,19,-22.6
8,0.00,-22,-38.6
9,0.00,-45,-24.5
10,0.00,-34,-24.1
11,0.00,-20,-21.8
12,0.00,-29,-21.1
13,0.00,-28,-21.1